Record 1
Below is a geometry-optimized LuCuGePt structure, with properties calculated at the GGA-PBE level.

Calculated values
- Distance to the lowest polymorph of the same formula: 94 meV/atom
- Density: 12.1 Mg/m³

Structure (CIF):
```
data_LuCuGePt
_symmetry_space_group_name_H-M 'F -4 3 m'
_symmetry_Int_Tables_number 216
_symmetry_space_group_name_Hall 'F -4 2 3'
_cell_length_a 6.529
_cell_length_b 6.529
_cell_length_c 6.529
_cell_angle_alpha 90.00
_cell_angle_beta 90.00
_cell_angle_gamma 90.00
loop_
_atom_site_label
_atom_site_fract_x
_atom_site_fract_y
_atom_site_fract_z
Lu1 0.000 0.000 0.000
Cu1 0.000 0.000 0.500
Ge1 0.250 0.250 0.250
Pt1 0.250 0.250 0.750
```


Record 2
Below is a geometry-optimized TcNiB4 structure, with properties calculated at the GGA-PBE level.

Calculated values
- Distance to the lowest polymorph of the same formula: 0 meV/atom
- Density: 6.7 Mg/m³

Structure (CIF):
```
data_TcNiB4
_symmetry_space_group_name_H-M 'I m m m'
_symmetry_Int_Tables_number 71
_symmetry_space_group_name_Hall '-I 2 2'
_cell_length_a 2.945
_cell_length_b 5.390
_cell_length_c 6.233
_cell_angle_alpha 90.00
_cell_angle_beta 90.00
_cell_angle_gamma 90.00
loop_
_atom_site_label
_atom_site_fract_x
_atom_site_fract_y
_atom_site_fract_z
Tc1 0.000 0.000 0.000
Ni1 0.000 0.000 0.500
B1 0.000 0.336 0.243
```


Record 3
Below is a geometry-optimized GaReAsO structure, with properties calculated at the GGA-PBE level.

Calculated values
- Distance to the lowest polymorph of the same formula: 170 meV/atom
- Density: 9.9 Mg/m³

Structure (CIF):
```
data_GaReAsO
_symmetry_space_group_name_H-M 'P m c 21'
_symmetry_Int_Tables_number 26
_cell_length_a 4.027
_cell_length_b 4.913
_cell_length_c 5.894
_cell_angle_alpha 90.00
_cell_angle_beta 90.00
_cell_angle_gamma 90.00
loop_
_symmetry_equiv_pos_as_xyz
'x,y,z'
'-x,-y,z+1/2'
'-x,y,z'
'x,-y,z+1/2'
loop_
_atom_site_label
_atom_site_fract_x
_atom_site_fract_y
_atom_site_fract_z
Ga1 0.000 0.209 0.000
Re1 0.500 0.403 0.334
As1 0.500 0.112 0.688
O1 0.000 0.388 0.335
```


Record 4
Below is a geometry-optimized Hf3GaAs structure, with properties calculated at the GGA-PBE level.

Calculated values
- E_tot: -8.020 eV per atom
- Density: 11.1 Mg/m³

Structure (CIF):
```
data_Hf3GaAs
_symmetry_space_group_name_H-M 'C m c m'
_symmetry_Int_Tables_number 63
_symmetry_space_group_name_Hall '-C 2c 2'
_cell_length_a 3.882
_cell_length_b 10.530
_cell_length_c 9.917
_cell_angle_alpha 90.00
_cell_angle_beta 90.00
_cell_angle_gamma 90.00
loop_
_atom_site_label
_atom_site_fract_x
_atom_site_fract_y
_atom_site_fract_z
Hf1 0.000 0.058 0.250
Hf2 0.000 0.347 0.077
Ga1 0.000 0.250 0.750
As1 0.000 0.000 0.000
```


Record 5
Below is a geometry-optimized NdReClO4 structure, with properties calculated at the GGA-PBE level.

Calculated values
- E_tot: -7.709 eV per atom
- Density: 6.8 Mg/m³

Structure (CIF):
```
data_NdReClO4
_symmetry_space_group_name_H-M 'P m n 21'
_symmetry_Int_Tables_number 31
_cell_length_a 5.767
_cell_length_b 9.542
_cell_length_c 3.814
_cell_angle_alpha 90.00
_cell_angle_beta 90.00
_cell_angle_gamma 90.00
loop_
_symmetry_equiv_pos_as_xyz
'x,y,z'
'-x+1/2,-y,z+1/2'
'-x,y,z'
'x+1/2,-y,z+1/2'
loop_
_atom_site_label
_atom_site_fract_x
_atom_site_fract_y
_atom_site_fract_z
Nd1 0.000 0.195 0.000
Re1 0.000 0.633 0.000
Cl1 0.000 0.965 0.502
O1 0.000 0.447 0.999
O2 0.000 0.637 0.500
O3 0.231 0.262 0.500
```


Record 6
Below is a geometry-optimized MgFe2Sn structure, with properties calculated at the GGA-PBE level.

Calculated values
- E_tot: -5.366 eV per atom
- Density: 6.9 Mg/m³

Structure (CIF):
```
data_MgFe2Sn
_symmetry_space_group_name_H-M 'F -4 3 m'
_symmetry_Int_Tables_number 216
_symmetry_space_group_name_Hall 'F -4 2 3'
_cell_length_a 6.248
_cell_length_b 6.248
_cell_length_c 6.248
_cell_angle_alpha 90.00
_cell_angle_beta 90.00
_cell_angle_gamma 90.00
loop_
_atom_site_label
_atom_site_fract_x
_atom_site_fract_y
_atom_site_fract_z
Mg1 0.000 0.000 0.000
Fe1 0.000 0.000 0.500
Fe2 0.250 0.250 0.250
Sn1 0.250 0.250 0.750
```


Record 7
Below is a geometry-optimized TmZnPO structure, with properties calculated at the GGA-PBE level.

Calculated values
- E_tot: -5.568 eV per atom
- Density: 6.7 Mg/m³

Structure (CIF):
```
data_TmZnPO
_symmetry_space_group_name_H-M 'P m c 21'
_symmetry_Int_Tables_number 26
_cell_length_a 3.759
_cell_length_b 5.776
_cell_length_c 6.428
_cell_angle_alpha 90.00
_cell_angle_beta 90.00
_cell_angle_gamma 90.00
loop_
_symmetry_equiv_pos_as_xyz
'x,y,z'
'-x,-y,z+1/2'
'-x,y,z'
'x,-y,z+1/2'
loop_
_atom_site_label
_atom_site_fract_x
_atom_site_fract_y
_atom_site_fract_z
Tm1 0.000 0.044 0.000
Zn1 0.500 0.395 0.372
P1 0.500 0.230 0.727
O1 0.000 0.250 0.281
```


Record 8
Below is a geometry-optimized Dy3FeCo8 structure, with properties calculated at the GGA-PBE level.

Calculated values
- E_tot: -6.753 eV per atom
- Density: 9.7 Mg/m³

Structure (CIF):
```
data_Dy3FeCo8
_symmetry_space_group_name_H-M 'R -3 m'
_symmetry_Int_Tables_number 166
_symmetry_space_group_name_Hall '-R 3 2"'
_cell_length_a 5.0097
_cell_length_b 5.0097
_cell_length_c 23.9022
_cell_angle_alpha 90.00
_cell_angle_beta 90.00
_cell_angle_gamma 120.00
loop_
_atom_site_label
_atom_site_fract_x
_atom_site_fract_y
_atom_site_fract_z
Dy1 0.0000 0.0000 0.0000
Dy2 0.0000 0.0000 0.1394
Fe1 0.0000 0.0000 0.5000
Co1 0.0000 0.0000 0.3335
Co2 0.0015 0.5008 0.9182
```


Record 9
Below is a geometry-optimized TbPb structure, with properties calculated at the GGA-PBE level.

Calculated values
- E_tot: -4.500 eV per atom
- Density: 10.3 Mg/m³

Structure (CIF):
```
data_TbPb
_symmetry_space_group_name_H-M 'P -6 m 2'
_symmetry_Int_Tables_number 187
_symmetry_space_group_name_Hall 'P -6 2'
_cell_length_a 3.6362
_cell_length_b 3.6362
_cell_length_c 5.1654
_cell_angle_alpha 90.00
_cell_angle_beta 90.00
_cell_angle_gamma 120.00
loop_
_atom_site_label
_atom_site_fract_x
_atom_site_fract_y
_atom_site_fract_z
Tb1 0.0000 0.0000 0.0000
Pb1 0.3333 0.6667 0.5000
```


Record 10
Below is a geometry-optimized ScTaCoB structure, with properties calculated at the GGA-PBE level.

Calculated values
- Distance to the lowest polymorph of the same formula: 0 meV/atom
- Density: 9.2 Mg/m³

Structure (CIF):
```
data_ScTaCoB
_symmetry_space_group_name_H-M 'F -4 3 m'
_symmetry_Int_Tables_number 216
_symmetry_space_group_name_Hall 'F -4 2 3'
_cell_length_a 5.978
_cell_length_b 5.978
_cell_length_c 5.978
_cell_angle_alpha 90.00
_cell_angle_beta 90.00
_cell_angle_gamma 90.00
loop_
_atom_site_label
_atom_site_fract_x
_atom_site_fract_y
_atom_site_fract_z
Sc1 0.000 0.000 0.000
Ta1 0.250 0.250 0.750
Co1 0.000 0.000 0.500
B1 0.250 0.250 0.250
```


Record 11
Below is a geometry-optimized NaPmTl structure, with properties calculated at the GGA-PBE level.

Calculated values
- Distance to the lowest polymorph of the same formula: 0 meV/atom
- Density: 6.2 Mg/m³

Structure (CIF):
```
data_NaPmTl
_symmetry_space_group_name_H-M 'F -4 3 m'
_symmetry_Int_Tables_number 216
_symmetry_space_group_name_Hall 'F -4 2 3'
_cell_length_a 7.359
_cell_length_b 7.359
_cell_length_c 7.359
_cell_angle_alpha 90.00
_cell_angle_beta 90.00
_cell_angle_gamma 90.00
loop_
_atom_site_label
_atom_site_fract_x
_atom_site_fract_y
_atom_site_fract_z
Na1 0.000 0.000 0.000
Pm1 0.000 0.000 0.500
Tl1 0.250 0.250 0.250
```


Record 12
Below is a geometry-optimized YErAg6 structure, with properties calculated at the GGA-PBE level.

Calculated values
- E_tot: -3.768 eV per atom
- Density: 9.4 Mg/m³

Structure (CIF):
```
data_YErAg6
_symmetry_space_group_name_H-M 'P m m 2'
_symmetry_Int_Tables_number 25
_cell_length_a 5.017
_cell_length_b 6.130
_cell_length_c 5.206
_cell_angle_alpha 90.00
_cell_angle_beta 90.00
_cell_angle_gamma 90.00
loop_
_symmetry_equiv_pos_as_xyz
'x,y,z'
'-x,-y,z'
'-x,y,z'
'x,-y,z'
loop_
_atom_site_label
_atom_site_fract_x
_atom_site_fract_y
_atom_site_fract_z
Y1 0.000 0.000 0.000
Er1 0.500 0.500 0.307
Ag1 0.000 0.257 0.493
Ag2 0.000 0.500 0.976
Ag3 0.500 0.000 0.336
Ag4 0.500 0.248 0.814
```


Record 13
Below is a geometry-optimized LuCuSnTe3 structure, with properties calculated at the GGA-PBE level.

Calculated values
- Distance to the lowest polymorph of the same formula: 15 meV/atom
- Density: 7.0 Mg/m³

Structure (CIF):
```
data_LuCuSnTe3
_symmetry_space_group_name_H-M 'P 1 21/m 1'
_symmetry_Int_Tables_number 11
_cell_length_a 8.183
_cell_length_b 4.224
_cell_length_c 10.500
_cell_angle_alpha 90.00
_cell_angle_beta 106.12
_cell_angle_gamma 90.00
loop_
_symmetry_equiv_pos_as_xyz
'x,y,z'
'-x,-y,-z'
'-x,y+1/2,-z'
'x,-y+1/2,z'
loop_
_atom_site_label
_atom_site_fract_x
_atom_site_fract_y
_atom_site_fract_z
Lu1 0.198 0.250 0.170
Cu1 0.423 0.750 0.416
Sn1 0.238 0.750 0.698
Te1 0.078 0.250 0.866
Te2 0.236 0.250 0.461
Te3 0.457 0.750 0.172
```


Record 14
Below is a geometry-optimized KCoAgTe3 structure, with properties calculated at the GGA-PBE level.

Calculated values
- E_tot: -3.613 eV per atom
- Density: 5.9 Mg/m³

Structure (CIF):
```
data_KCoAgTe3
_symmetry_space_group_name_H-M 'C m c m'
_symmetry_Int_Tables_number 63
_symmetry_space_group_name_Hall '-C 2c 2'
_cell_length_a 3.859
_cell_length_b 15.928
_cell_length_c 10.850
_cell_angle_alpha 90.00
_cell_angle_beta 90.00
_cell_angle_gamma 90.00
loop_
_atom_site_label
_atom_site_fract_x
_atom_site_fract_y
_atom_site_fract_z
K1 0.000 0.240 0.250
Co1 0.000 0.000 0.000
Ag1 0.000 0.440 0.750
Te1 0.000 0.067 0.750
Te2 0.000 0.390 0.513
```


Record 15
Below is a geometry-optimized LuHgTeO structure, with properties calculated at the GGA-PBE level.

Calculated values
- Distance to the lowest polymorph of the same formula: 0 meV/atom
- Density: 8.8 Mg/m³

Structure (CIF):
```
data_LuHgTeO
_symmetry_space_group_name_H-M 'P 1 21/c 1'
_symmetry_Int_Tables_number 14
_cell_length_a 8.341
_cell_length_b 7.098
_cell_length_c 6.646
_cell_angle_alpha 90.00
_cell_angle_beta 91.05
_cell_angle_gamma 90.00
loop_
_symmetry_equiv_pos_as_xyz
'x,y,z'
'-x,-y,-z'
'-x,y+1/2,-z+1/2'
'x,-y+1/2,z+1/2'
loop_
_atom_site_label
_atom_site_fract_x
_atom_site_fract_y
_atom_site_fract_z
Lu1 0.027 0.129 0.301
Hg1 0.445 0.682 0.996
Te1 0.269 0.034 0.952
O1 0.044 0.655 0.900
```


Record 16
Below is a geometry-optimized ZrNb3S6 structure, with properties calculated at the GGA-PBE level.

Calculated values
- E_tot: -7.610 eV per atom
- Density: 4.9 Mg/m³

Structure (CIF):
```
data_ZrNb3S6
_symmetry_space_group_name_H-M 'P 63 2 2'
_symmetry_Int_Tables_number 182
_symmetry_space_group_name_Hall 'P 6c 2c'
_cell_length_a 5.8039
_cell_length_b 5.8039
_cell_length_c 13.1348
_cell_angle_alpha 90.00
_cell_angle_beta 90.00
_cell_angle_gamma 120.00
loop_
_atom_site_label
_atom_site_fract_x
_atom_site_fract_y
_atom_site_fract_z
Zr1 0.3333 0.6667 0.2500
Nb1 0.0000 0.0000 0.0000
Nb2 0.3333 0.6667 0.5007
S1 0.0026 0.3328 0.8789
```


Record 17
Below is a geometry-optimized HfZnCd2 structure, with properties calculated at the GGA-PBE level.

Calculated values
- E_tot: -3.174 eV per atom
- Density: 10.2 Mg/m³

Structure (CIF):
```
data_HfZnCd2
_symmetry_space_group_name_H-M 'F -4 3 m'
_symmetry_Int_Tables_number 216
_symmetry_space_group_name_Hall 'F -4 2 3'
_cell_length_a 6.742
_cell_length_b 6.742
_cell_length_c 6.742
_cell_angle_alpha 90.00
_cell_angle_beta 90.00
_cell_angle_gamma 90.00
loop_
_atom_site_label
_atom_site_fract_x
_atom_site_fract_y
_atom_site_fract_z
Hf1 0.000 0.000 0.000
Zn1 0.250 0.250 0.750
Cd1 0.000 0.000 0.500
Cd2 0.250 0.250 0.250
```


Record 18
Below is a geometry-optimized LaTlCdO3 structure, with properties calculated at the GGA-PBE level.

Calculated values
- E_tot: -5.625 eV per atom
- Density: 7.2 Mg/m³

Structure (CIF):
```
data_LaTlCdO3
_symmetry_space_group_name_H-M 'C m c m'
_symmetry_Int_Tables_number 63
_symmetry_space_group_name_Hall '-C 2c 2'
_cell_length_a 3.740
_cell_length_b 13.805
_cell_length_c 8.989
_cell_angle_alpha 90.00
_cell_angle_beta 90.00
_cell_angle_gamma 90.00
loop_
_atom_site_label
_atom_site_fract_x
_atom_site_fract_y
_atom_site_fract_z
La1 0.000 0.000 0.000
Tl1 0.000 0.333 0.250
Cd1 0.000 0.333 0.750
O1 0.000 0.062 0.750
O2 0.000 0.392 0.536
```


Record 19
Below is a geometry-optimized Sc2Nb4Pb3N3 structure, with properties calculated at the GGA-PBE level.

Calculated values
- E_tot: -8.116 eV per atom
- Density: 9.2 Mg/m³

Structure (CIF):
```
data_Sc2Nb4Pb3N3
_symmetry_space_group_name_H-M 'C 1 2/c 1'
_symmetry_Int_Tables_number 15
_cell_length_a 10.058
_cell_length_b 5.851
_cell_length_c 14.176
_cell_angle_alpha 90.00
_cell_angle_beta 103.09
_cell_angle_gamma 90.00
loop_
_symmetry_equiv_pos_as_xyz
'x,y,z'
'-x,-y,-z'
'-x,y,-z+1/2'
'x,-y,z+1/2'
'x+1/2,y+1/2,z'
'-x+1/2,-y+1/2,-z'
'-x+1/2,y+1/2,-z+1/2'
'x+1/2,-y+1/2,z+1/2'
loop_
_atom_site_label
_atom_site_fract_x
_atom_site_fract_y
_atom_site_fract_z
Sc1 0.059 0.084 0.417
Nb1 0.108 0.428 0.572
Nb2 0.221 0.412 0.927
Pb1 0.000 0.426 0.250
Pb2 0.172 0.092 0.749
N1 0.077 0.233 0.000
N2 0.250 0.250 0.500
```


Record 20
Below is a geometry-optimized BaZnP2Os structure, with properties calculated at the GGA-PBE level.

Calculated values
- E_tot: -5.474 eV per atom
- Density: 7.4 Mg/m³

Structure (CIF):
```
data_BaZnP2Os
_symmetry_space_group_name_H-M 'I -4 m 2'
_symmetry_Int_Tables_number 119
_symmetry_space_group_name_Hall 'I -4 -2'
_cell_length_a 4.006
_cell_length_b 4.006
_cell_length_c 12.740
_cell_angle_alpha 90.00
_cell_angle_beta 90.00
_cell_angle_gamma 90.00
loop_
_atom_site_label
_atom_site_fract_x
_atom_site_fract_y
_atom_site_fract_z
Ba1 0.000 0.000 0.000
Zn1 0.000 0.500 0.750
P1 0.000 0.000 0.354
Os1 0.000 0.500 0.250
```


Record 21
Below is a geometry-optimized ScSnHg structure, with properties calculated at the GGA-PBE level.

Calculated values
- E_tot: -3.733 eV per atom
- Density: 7.9 Mg/m³

Structure (CIF):
```
data_ScSnHg
_symmetry_space_group_name_H-M 'F -4 3 m'
_symmetry_Int_Tables_number 216
_symmetry_space_group_name_Hall 'F -4 2 3'
_cell_length_a 6.736
_cell_length_b 6.736
_cell_length_c 6.736
_cell_angle_alpha 90.00
_cell_angle_beta 90.00
_cell_angle_gamma 90.00
loop_
_atom_site_label
_atom_site_fract_x
_atom_site_fract_y
_atom_site_fract_z
Sc1 0.000 0.000 0.000
Sn1 0.000 0.000 0.500
Hg1 0.250 0.250 0.250
```


Record 22
Below is a geometry-optimized NdZnGa2Ir structure, with properties calculated at the GGA-PBE level.

Calculated values
- E_tot: -4.709 eV per atom
- Density: 9.6 Mg/m³

Structure (CIF):
```
data_NdZnGa2Ir
_symmetry_space_group_name_H-M 'I -4 m 2'
_symmetry_Int_Tables_number 119
_symmetry_space_group_name_Hall 'I -4 -2'
_cell_length_a 4.142
_cell_length_b 4.142
_cell_length_c 10.927
_cell_angle_alpha 90.00
_cell_angle_beta 90.00
_cell_angle_gamma 90.00
loop_
_atom_site_label
_atom_site_fract_x
_atom_site_fract_y
_atom_site_fract_z
Nd1 0.000 0.000 0.000
Zn1 0.000 0.500 0.250
Ga1 0.000 0.000 0.382
Ir1 0.000 0.500 0.750
```


Record 23
Below is a geometry-optimized GeMo4C3 structure, with properties calculated at the GGA-PBE level.

Calculated values
- E_tot: -9.384 eV per atom
- Density: 8.4 Mg/m³

Structure (CIF):
```
data_GeMo4C3
_symmetry_space_group_name_H-M 'P 63/m m c'
_symmetry_Int_Tables_number 194
_symmetry_space_group_name_Hall '-P 6c 2c'
_cell_length_a 3.1409
_cell_length_b 3.1409
_cell_length_c 22.7122
_cell_angle_alpha 90.00
_cell_angle_beta 90.00
_cell_angle_gamma 120.00
loop_
_atom_site_label
_atom_site_fract_x
_atom_site_fract_y
_atom_site_fract_z
Ge1 0.3333 0.6667 0.2500
Mo1 0.0000 0.0000 0.1574
Mo2 0.3333 0.6667 0.0579
C1 0.0000 0.0000 0.0000
C2 0.3333 0.6667 0.6128
```